# Be4AlCr

A relaxed structure of Be4AlCr (PBE, Alexandria via LeMat-Bulk).

Geometry as CIF:
```
data_Be4AlCr
_cell_length_a 4.3266
_cell_length_b 4.3266
_cell_length_c 7.0115
_cell_angle_alpha 90.00
_cell_angle_beta 90.00
_cell_angle_gamma 120.00
_symmetry_space_group_name_H-M 'P -3 m 1'
_symmetry_Int_Tables_number 164
_symmetry_space_group_name_Hall '-P 3 2"'
loop_
_atom_site_label
_atom_site_type_symbol
_atom_site_fract_x
_atom_site_fract_y
_atom_site_fract_z
Be1 Be 0.0000 0.0000 0.0000
Be2 Be 0.0000 0.0000 0.5000
Be3 Be 0.1683 0.3365 0.2407
Al1 Al 0.3333 0.6667 0.5778
Cr1 Cr 0.3333 0.6667 0.9473
```

Summary:
**Crystal system**: trigonal
**E**: -58.16 eV per cell
**Energy of formation from the pure elements**: -78 kJ/mol of formula units

# BeAl2Cr

A relaxed structure of BeAl2Cr (PBE, Alexandria via LeMat-Bulk).

Geometry as CIF:
```
data_BeAl2Cr
_cell_length_a 6.607
_cell_length_b 6.607
_cell_length_c 4.919
_cell_angle_alpha 90.00
_cell_angle_beta 90.00
_cell_angle_gamma 90.00
_symmetry_space_group_name_H-M 'I -4 2 d'
_symmetry_Int_Tables_number 122
_symmetry_space_group_name_Hall 'I -4 2bw'
loop_
_atom_site_label
_atom_site_type_symbol
_atom_site_fract_x
_atom_site_fract_y
_atom_site_fract_z
Be1 Be 0.000 0.000 0.000
Al1 Al 0.212 0.250 0.125
Cr1 Cr 0.000 0.000 0.500
```

Summary:
**Crystal system**: tetragonal
**E**: -75.88 eV per cell
**Energy of formation from the pure elements**: 180 kJ/mol of formula units

# BeAlCr2

A relaxed structure of BeAlCr2 (PBE, Alexandria via LeMat-Bulk).

Geometry as CIF:
```
data_BeAlCr2
_cell_length_a 8.286
_cell_length_b 2.491
_cell_length_c 4.547
_cell_angle_alpha 90.00
_cell_angle_beta 95.95
_cell_angle_gamma 90.00
_symmetry_space_group_name_H-M 'C 1 m 1'
_symmetry_Int_Tables_number 8
loop_
_symmetry_equiv_pos_as_xyz
'x,y,z'
'x,-y,z'
'x+1/2,y+1/2,z'
'x+1/2,-y+1/2,z'
loop_
_atom_site_label
_atom_site_type_symbol
_atom_site_fract_x
_atom_site_fract_y
_atom_site_fract_z
Be1 Be 0.000 0.000 0.000
Al1 Al 0.248 0.500 0.232
Cr1 Cr 0.262 0.000 0.743
Cr2 Cr 0.499 0.000 0.516
```

Summary:
**Crystal system**: monoclinic
**E**: -52.62 eV per cell
**Energy of formation from the pure elements**: 39 kJ/mol of formula units

# Be2AlCr

A relaxed structure of Be2AlCr (PBE, Alexandria via LeMat-Bulk).

Geometry as CIF:
```
data_Be2AlCr
_cell_length_a 2.503
_cell_length_b 2.503
_cell_length_c 7.133
_cell_angle_alpha 90.00
_cell_angle_beta 90.00
_cell_angle_gamma 90.00
_symmetry_space_group_name_H-M 'P 4/m m m'
_symmetry_Int_Tables_number 123
_symmetry_space_group_name_Hall '-P 4 2'
loop_
_atom_site_label
_atom_site_type_symbol
_atom_site_fract_x
_atom_site_fract_y
_atom_site_fract_z
Be1 Be 0.000 0.000 0.237
Al1 Al 0.500 0.500 0.500
Cr1 Cr 0.500 0.500 0.000
```

Summary:
**Crystal system**: tetragonal
**E**: -19.87 eV per cell
**Energy of formation from the pure elements**: 91 kJ/mol of formula units

# Be2AlCr

A relaxed structure of Be2AlCr (PBE, Alexandria via LeMat-Bulk).

Geometry as CIF:
```
data_Be2AlCr
_cell_length_a 5.683
_cell_length_b 5.683
_cell_length_c 5.683
_cell_angle_alpha 90.00
_cell_angle_beta 90.00
_cell_angle_gamma 90.00
_symmetry_space_group_name_H-M 'F -4 3 m'
_symmetry_Int_Tables_number 216
_symmetry_space_group_name_Hall 'F -4 2 3'
loop_
_atom_site_label
_atom_site_type_symbol
_atom_site_fract_x
_atom_site_fract_y
_atom_site_fract_z
Be1 Be 0.000 0.000 0.000
Be2 Be 0.250 0.250 0.250
Al1 Al 0.000 0.000 0.500
Cr1 Cr 0.250 0.250 0.750
```

Summary:
**Crystal system**: cubic
**E**: -80.07 eV per cell
**Energy of formation from the pure elements**: 77 kJ/mol of formula units

# BeAlCr2

A relaxed structure of BeAlCr2 (PBE, Alexandria via LeMat-Bulk).

Geometry as CIF:
```
data_BeAlCr2
_cell_length_a 2.5865
_cell_length_b 2.5865
_cell_length_c 24.5443
_cell_angle_alpha 90.00
_cell_angle_beta 90.00
_cell_angle_gamma 120.00
_symmetry_space_group_name_H-M 'R -3 m'
_symmetry_Int_Tables_number 166
_symmetry_space_group_name_Hall '-R 3 2"'
loop_
_atom_site_label
_atom_site_type_symbol
_atom_site_fract_x
_atom_site_fract_y
_atom_site_fract_z
Be1 Be 0.0000 0.0000 0.0000
Al1 Al 0.0000 0.0000 0.5000
Cr1 Cr 0.0000 0.0000 0.2545
```

Summary:
**Crystal system**: trigonal
**E**: -77.33 eV per cell
**Energy of formation from the pure elements**: 91 kJ/mol of formula units

# BeAlCr2

A relaxed structure of BeAlCr2 (PBE, Alexandria via LeMat-Bulk).

Geometry as CIF:
```
data_BeAlCr2
_cell_length_a 3.117
_cell_length_b 3.851
_cell_length_c 7.646
_cell_angle_alpha 90.00
_cell_angle_beta 90.00
_cell_angle_gamma 90.00
_symmetry_space_group_name_H-M 'C m m m'
_symmetry_Int_Tables_number 65
_symmetry_space_group_name_Hall '-C 2 2'
loop_
_atom_site_label
_atom_site_type_symbol
_atom_site_fract_x
_atom_site_fract_y
_atom_site_fract_z
Be1 Be 0.000 0.000 0.000
Al1 Al 0.000 0.000 0.500
Cr1 Cr 0.000 0.500 0.233
```

Summary:
**Crystal system**: orthorhombic
**E**: -52.94 eV per cell
**Energy of formation from the pure elements**: 24 kJ/mol of formula units

# BeAlCr2

A relaxed structure of BeAlCr2 (PBE, Alexandria via LeMat-Bulk).

Geometry as CIF:
```
data_BeAlCr2
_cell_length_a 2.470
_cell_length_b 3.843
_cell_length_c 4.886
_cell_angle_alpha 90.00
_cell_angle_beta 90.00
_cell_angle_gamma 90.00
_symmetry_space_group_name_H-M 'P m m m'
_symmetry_Int_Tables_number 47
loop_
_symmetry_equiv_pos_as_xyz
'x,y,z'
'-x,-y,-z'
'-x,-y,z'
'x,y,-z'
'x,-y,-z'
'-x,y,z'
'-x,y,-z'
'x,-y,z'
loop_
_atom_site_label
_atom_site_type_symbol
_atom_site_fract_x
_atom_site_fract_y
_atom_site_fract_z
Be1 Be 0.000 0.000 0.000
Al1 Al 0.000 0.000 0.500
Cr1 Cr 0.500 0.500 0.238
```

Summary:
**Crystal system**: orthorhombic
**E**: -26.39 eV per cell
**Energy of formation from the pure elements**: 31 kJ/mol of formula units

# BeAl2Cr

A relaxed structure of BeAl2Cr (PBE, Alexandria via LeMat-Bulk).

Geometry as CIF:
```
data_BeAl2Cr
_cell_length_a 5.236
_cell_length_b 7.361
_cell_length_c 2.647
_cell_angle_alpha 90.00
_cell_angle_beta 90.00
_cell_angle_gamma 90.00
_symmetry_space_group_name_H-M 'C m m m'
_symmetry_Int_Tables_number 65
_symmetry_space_group_name_Hall '-C 2 2'
loop_
_atom_site_label
_atom_site_type_symbol
_atom_site_fract_x
_atom_site_fract_y
_atom_site_fract_z
Be1 Be 0.000 0.000 0.000
Al1 Al 0.250 0.250 0.500
Cr1 Cr 0.000 0.500 0.000
```

Summary:
**Crystal system**: orthorhombic
**E**: -41.18 eV per cell
**Energy of formation from the pure elements**: 24 kJ/mol of formula units

# Be2AlCr

A relaxed structure of Be2AlCr (PBE, Alexandria via LeMat-Bulk).

Geometry as CIF:
```
data_Be2AlCr
_cell_length_a 2.725
_cell_length_b 4.010
_cell_length_c 8.099
_cell_angle_alpha 90.00
_cell_angle_beta 90.00
_cell_angle_gamma 90.00
_symmetry_space_group_name_H-M 'I m m m'
_symmetry_Int_Tables_number 71
_symmetry_space_group_name_Hall '-I 2 2'
loop_
_atom_site_label
_atom_site_type_symbol
_atom_site_fract_x
_atom_site_fract_y
_atom_site_fract_z
Be1 Be 0.000 0.000 0.241
Al1 Al 0.000 0.500 0.000
Cr1 Cr 0.000 0.500 0.500
```

Summary:
**Crystal system**: orthorhombic
**E**: -40.63 eV per cell
**Energy of formation from the pure elements**: 49 kJ/mol of formula units

# Be2AlCr2

A relaxed structure of Be2AlCr2 (PBE, Alexandria via LeMat-Bulk).

Geometry as CIF:
```
data_Be2AlCr2
_cell_length_a 5.964
_cell_length_b 5.964
_cell_length_c 3.040
_cell_angle_alpha 90.00
_cell_angle_beta 90.00
_cell_angle_gamma 90.00
_symmetry_space_group_name_H-M 'P 4/m b m'
_symmetry_Int_Tables_number 127
_symmetry_space_group_name_Hall '-P 4 2ab'
loop_
_atom_site_label
_atom_site_type_symbol
_atom_site_fract_x
_atom_site_fract_y
_atom_site_fract_z
Be1 Be 0.119 0.381 0.000
Al1 Al 0.000 0.000 0.000
Cr1 Cr 0.175 0.675 0.500
```

Summary:
**Crystal system**: tetragonal
**E**: -61.43 eV per cell
**Energy of formation from the pure elements**: -26 kJ/mol of formula units

# BeAl2Cr

A relaxed structure of BeAl2Cr (PBE, Alexandria via LeMat-Bulk).

Geometry as CIF:
```
data_BeAl2Cr
_cell_length_a 2.601
_cell_length_b 2.601
_cell_length_c 7.572
_cell_angle_alpha 90.00
_cell_angle_beta 90.00
_cell_angle_gamma 90.00
_symmetry_space_group_name_H-M 'P 4/m m m'
_symmetry_Int_Tables_number 123
_symmetry_space_group_name_Hall '-P 4 2'
loop_
_atom_site_label
_atom_site_type_symbol
_atom_site_fract_x
_atom_site_fract_y
_atom_site_fract_z
Be1 Be 0.000 0.000 0.000
Al1 Al 0.500 0.500 0.241
Cr1 Cr 0.000 0.000 0.500
```

Summary:
**Crystal system**: tetragonal
**E**: -20.19 eV per cell
**Energy of formation from the pure elements**: 62 kJ/mol of formula units

# BeAlCr2

A relaxed structure of BeAlCr2 (PBE, Alexandria via LeMat-Bulk).

Geometry as CIF:
```
data_BeAlCr2
_cell_length_a 3.035
_cell_length_b 4.043
_cell_length_c 7.629
_cell_angle_alpha 90.00
_cell_angle_beta 90.00
_cell_angle_gamma 90.00
_symmetry_space_group_name_H-M 'I m m 2'
_symmetry_Int_Tables_number 44
loop_
_symmetry_equiv_pos_as_xyz
'x,y,z'
'-x,-y,z'
'-x,y,z'
'x,-y,z'
'x+1/2,y+1/2,z+1/2'
'-x+1/2,-y+1/2,z+1/2'
'-x+1/2,y+1/2,z+1/2'
'x+1/2,-y+1/2,z+1/2'
loop_
_atom_site_label
_atom_site_type_symbol
_atom_site_fract_x
_atom_site_fract_y
_atom_site_fract_z
Be1 Be 0.000 0.000 0.000
Al1 Al 0.000 0.500 0.750
Cr1 Cr 0.000 0.000 0.520
Cr2 Cr 0.000 0.500 0.247
```

Summary:
**Crystal system**: orthorhombic
**E**: -53.31 eV per cell
**Energy of formation from the pure elements**: 6 kJ/mol of formula units

# BeAlCr2

A relaxed structure of BeAlCr2 (PBE, Alexandria via LeMat-Bulk).

Geometry as CIF:
```
data_BeAlCr2
_cell_length_a 4.854
_cell_length_b 7.905
_cell_length_c 2.473
_cell_angle_alpha 90.00
_cell_angle_beta 102.75
_cell_angle_gamma 90.00
_symmetry_space_group_name_H-M 'C 1 2/m 1'
_symmetry_Int_Tables_number 12
loop_
_symmetry_equiv_pos_as_xyz
'x,y,z'
'-x,-y,-z'
'-x,y,-z'
'x,-y,z'
'x+1/2,y+1/2,z'
'-x+1/2,-y+1/2,-z'
'-x+1/2,y+1/2,-z'
'x+1/2,-y+1/2,z'
loop_
_atom_site_label
_atom_site_type_symbol
_atom_site_fract_x
_atom_site_fract_y
_atom_site_fract_z
Be1 Be 0.000 0.000 0.000
Al1 Al 0.000 0.500 0.000
Cr1 Cr 0.250 0.250 0.500
```

Summary:
**Crystal system**: monoclinic
**E**: -53.02 eV per cell
**Energy of formation from the pure elements**: 20 kJ/mol of formula units

# BeAl2Cr

A relaxed structure of BeAl2Cr (PBE, Alexandria via LeMat-Bulk).

Geometry as CIF:
```
data_BeAl2Cr
_cell_length_a 3.108
_cell_length_b 3.108
_cell_length_c 5.392
_cell_angle_alpha 90.00
_cell_angle_beta 90.00
_cell_angle_gamma 90.00
_symmetry_space_group_name_H-M 'P 4 m m'
_symmetry_Int_Tables_number 99
loop_
_symmetry_equiv_pos_as_xyz
'x,y,z'
'-y,x,z'
'-x,-y,z'
'y,-x,z'
'-x,y,z'
'y,x,z'
'x,-y,z'
'-y,-x,z'
loop_
_atom_site_label
_atom_site_type_symbol
_atom_site_fract_x
_atom_site_fract_y
_atom_site_fract_z
Be1 Be 0.000 0.000 0.000
Al1 Al 0.000 0.000 0.463
Al2 Al 0.500 0.500 0.759
Cr1 Cr 0.500 0.500 0.225
```

Summary:
**Crystal system**: tetragonal
**E**: -20.59 eV per cell
**Energy of formation from the pure elements**: 24 kJ/mol of formula units

# Be3AlCr

A relaxed structure of Be3AlCr (PBE, Alexandria via LeMat-Bulk).

Geometry as CIF:
```
data_Be3AlCr
_cell_length_a 4.080
_cell_length_b 4.080
_cell_length_c 4.080
_cell_angle_alpha 90.00
_cell_angle_beta 90.00
_cell_angle_gamma 90.00
_symmetry_space_group_name_H-M 'P m -3 m'
_symmetry_Int_Tables_number 221
_symmetry_space_group_name_Hall '-P 4 2 3'
loop_
_atom_site_label
_atom_site_type_symbol
_atom_site_fract_x
_atom_site_fract_y
_atom_site_fract_z
Be1 Be 0.000 0.000 0.500
Al1 Al 0.000 0.000 0.000
Cr1 Cr 0.500 0.500 0.500
```

Summary:
**Crystal system**: cubic
**E**: -17.14 eV per cell
**Energy of formation from the pure elements**: 714 kJ/mol of formula units

# BeAlCr2

A relaxed structure of BeAlCr2 (PBE, Alexandria via LeMat-Bulk).

Geometry as CIF:
```
data_BeAlCr2
_cell_length_a 8.790
_cell_length_b 3.017
_cell_length_c 3.832
_cell_angle_alpha 90.00
_cell_angle_beta 115.61
_cell_angle_gamma 90.00
_symmetry_space_group_name_H-M 'C 1 2/m 1'
_symmetry_Int_Tables_number 12
loop_
_symmetry_equiv_pos_as_xyz
'x,y,z'
'-x,-y,-z'
'-x,y,-z'
'x,-y,z'
'x+1/2,y+1/2,z'
'-x+1/2,-y+1/2,-z'
'-x+1/2,y+1/2,-z'
'x+1/2,-y+1/2,z'
loop_
_atom_site_label
_atom_site_type_symbol
_atom_site_fract_x
_atom_site_fract_y
_atom_site_fract_z
Be1 Be 0.000 0.000 0.000
Al1 Al 0.000 0.500 0.500
Cr1 Cr 0.242 0.500 0.239
```

Summary:
**Crystal system**: monoclinic
**E**: -53.49 eV per cell
**Energy of formation from the pure elements**: -3 kJ/mol of formula units

# BeAlCr

A relaxed structure of BeAlCr (PBE, Alexandria via LeMat-Bulk).

Geometry as CIF:
```
data_BeAlCr
_cell_length_a 2.610
_cell_length_b 3.109
_cell_length_c 8.571
_cell_angle_alpha 90.00
_cell_angle_beta 90.00
_cell_angle_gamma 90.00
_symmetry_space_group_name_H-M 'I m m 2'
_symmetry_Int_Tables_number 44
loop_
_symmetry_equiv_pos_as_xyz
'x,y,z'
'-x,-y,z'
'-x,y,z'
'x,-y,z'
'x+1/2,y+1/2,z+1/2'
'-x+1/2,-y+1/2,z+1/2'
'-x+1/2,y+1/2,z+1/2'
'x+1/2,-y+1/2,z+1/2'
loop_
_atom_site_label
_atom_site_type_symbol
_atom_site_fract_x
_atom_site_fract_y
_atom_site_fract_z
Be1 Be 0.000 0.000 0.000
Al1 Al 0.000 0.000 0.326
Cr1 Cr 0.000 0.000 0.640
```

Summary:
**Crystal system**: orthorhombic
**E**: -33.62 eV per cell
**Energy of formation from the pure elements**: 27 kJ/mol of formula units

# BeAlCr2

A relaxed structure of BeAlCr2 (PBE, Alexandria via LeMat-Bulk).

Geometry as CIF:
```
data_BeAlCr2
_cell_length_a 2.914
_cell_length_b 4.117
_cell_length_c 7.841
_cell_angle_alpha 90.00
_cell_angle_beta 90.00
_cell_angle_gamma 90.00
_symmetry_space_group_name_H-M 'C m m 2'
_symmetry_Int_Tables_number 35
loop_
_symmetry_equiv_pos_as_xyz
'x,y,z'
'-x,-y,z'
'-x,y,z'
'x,-y,z'
'x+1/2,y+1/2,z'
'-x+1/2,-y+1/2,z'
'-x+1/2,y+1/2,z'
'x+1/2,-y+1/2,z'
loop_
_atom_site_label
_atom_site_type_symbol
_atom_site_fract_x
_atom_site_fract_y
_atom_site_fract_z
Be1 Be 0.000 0.000 0.000
Al1 Al 0.000 0.500 0.258
Cr1 Cr 0.000 0.000 0.524
Cr2 Cr 0.000 0.500 0.769
```

Summary:
**Crystal system**: orthorhombic
**E**: -52.33 eV per cell
**Energy of formation from the pure elements**: 53 kJ/mol of formula units

# Be2AlCr

A relaxed structure of Be2AlCr (PBE, Alexandria via LeMat-Bulk).

Geometry as CIF:
```
data_Be2AlCr
_cell_length_a 6.184
_cell_length_b 6.184
_cell_length_c 4.816
_cell_angle_alpha 90.00
_cell_angle_beta 90.00
_cell_angle_gamma 90.00
_symmetry_space_group_name_H-M 'I -4 2 d'
_symmetry_Int_Tables_number 122
_symmetry_space_group_name_Hall 'I -4 2bw'
loop_
_atom_site_label
_atom_site_type_symbol
_atom_site_fract_x
_atom_site_fract_y
_atom_site_fract_z
Be1 Be 0.245 0.250 0.125
Al1 Al 0.000 0.000 0.500
Cr1 Cr 0.000 0.000 0.000
```

Summary:
**Crystal system**: tetragonal
**E**: -75.45 eV per cell
**Energy of formation from the pure elements**: 189 kJ/mol of formula units